Density functional theory data (PBE) for a relaxed NiAgSe crystal.

a b c (Å): 4.3405 4.3405 4.3405
angles (deg): 60.00 60.00 60.00
Closest atoms and distances in Å follow each position.
Sites, in units of the cell vectors:
1 Se 0.5000 0.5000 0.5000  4 Ag 2.66
2 Ni 0.0000 0.0000 0.0000  4 Ag 2.66
3 Ag 0.7500 0.7500 0.7500  4 Ni 2.66, 4 Se 2.66

Results
* relative energy among the computed polymorphs: 471 meV per atom
* raw formation energy: 0.45 eV/atom
* M_tot: 0.95 μB per formula unit